! BaMgZn PBE-GGA relaxed; values from VASP
&SYSTEM
  ibrav = 0, nat = 12, ntyp = 3
/
ATOMIC_SPECIES
Ba 137.33 Ba.upf
Mg 24.30 Mg.upf
Zn 65.41 Zn.upf
ATOMIC_POSITIONS crystal
Ba 0.177 0.116 0.368
Ba 0.177 0.384 0.868
Ba 0.823 0.616 0.132
Ba 0.823 0.884 0.632
Mg 0.415 0.608 0.302
Mg 0.415 0.892 0.802
Mg 0.585 0.108 0.198
Mg 0.585 0.392 0.698
Zn 0.211 0.614 0.532
Zn 0.211 0.886 0.032
Zn 0.789 0.114 0.968
Zn 0.789 0.386 0.468
CELL_PARAMETERS angstrom
7.177 0.000 0.000
0.000 6.355 0.000
-3.301 0.000 8.305
! - Formation energy from the elements: -2.795 kcal/mol of atoms
! - Symmetry: P2_1/c, No. 14
! - DFT total energy: -1.7183 eV per atom



! Ba2Mg3Zn2 PBE-GGA relaxed; values from VASP
&SYSTEM
  ibrav = 0, nat = 7, ntyp = 3
/
ATOMIC_SPECIES
Ba 137.33 Ba.upf
Mg 24.30 Mg.upf
Zn 65.41 Zn.upf
ATOMIC_POSITIONS crystal
Ba 0.133 0.133 0.272
Ba 0.867 0.867 0.728
Mg 0.353 0.353 0.071
Mg 0.500 0.500 0.500
Mg 0.647 0.647 0.929
Zn 0.142 0.142 0.708
Zn 0.858 0.858 0.292
CELL_PARAMETERS angstrom
6.198 -2.307 0.000
6.198 2.307 0.000
-4.121 0.000 7.359
! - Formation energy from the elements: -2.896 kcal/mol of atoms
! - Symmetry: C2/m, No. 12
! - DFT total energy: -1.7223 eV per atom



! Ba5Mg2Zn PBE-GGA relaxed; values from VASP
&SYSTEM
  ibrav = 0, nat = 16, ntyp = 3
/
ATOMIC_SPECIES
Ba 137.33 Ba.upf
Mg 24.30 Mg.upf
Zn 65.41 Zn.upf
ATOMIC_POSITIONS crystal
Ba 0.000 0.000 0.000
Ba 0.122 0.282 0.000
Ba 0.163 0.599 0.500
Ba 0.337 0.099 0.500
Ba 0.378 0.782 0.000
Ba 0.500 0.500 0.000
Ba 0.622 0.218 0.000
Ba 0.663 0.901 0.500
Ba 0.837 0.401 0.500
Ba 0.878 0.718 0.000
Mg 0.138 0.859 0.500
Mg 0.362 0.359 0.500
Mg 0.638 0.641 0.500
Mg 0.862 0.141 0.500
Zn 0.000 0.500 0.000
Zn 0.500 0.000 0.000
CELL_PARAMETERS angstrom
7.826 0.000 0.000
0.000 14.962 0.000
0.000 0.000 6.081
! - Formation energy from the elements: -0.905 kcal/mol of atoms
! - Symmetry: Pbam, No. 55
! - DFT total energy: -1.7989 eV per atom



! BaMg7Zn5 PBE-GGA relaxed; values from VASP
&SYSTEM
  ibrav = 0, nat = 13, ntyp = 3
/
ATOMIC_SPECIES
Ba 137.33 Ba.upf
Mg 24.30 Mg.upf
Zn 65.41 Zn.upf
ATOMIC_POSITIONS crystal
Ba 0.000 0.000 0.000
Mg 0.214 0.499 0.715
Mg 0.344 0.991 0.353
Mg 0.346 0.346 0.000
Mg 0.638 0.991 0.647
Mg 0.643 0.643 0.000
Mg 0.769 0.269 0.500
Mg 0.783 0.499 0.285
Zn 0.002 0.498 0.007
Zn 0.002 0.995 0.504
Zn 0.222 0.722 0.500
Zn 0.492 0.498 0.496
Zn 0.492 0.995 0.993
CELL_PARAMETERS angstrom
-2.788 4.944 4.977
2.788 -4.944 4.977
2.788 4.944 -4.977
! - Formation energy from the elements: -2.703 kcal/mol of atoms
! - Symmetry: Imm2, No. 44
! - DFT total energy: -1.6137 eV per atom